Entry from Alexandria: an optimized crystal structure of MgSb2Os (PBE).

Cell: 4.212 4.212 7.117 Å, 102.65 102.65 47.38°
Element x y z (fractional)
Mg 0.000 0.000 0.000
Sb 0.246 0.246 0.707
Sb 0.754 0.754 0.293
Os 0.500 0.500 0.500

Output
N(E_F)	1.791	states/eV/f.u.
calculated density	8.43	Mg/m³
formation energy from raw total energies	0.20	eV/atom
final energy	-5.067	eV per atom
symmetry	C2/m, No. 12

=====

Entry from Alexandria: an optimized crystal structure of MgSb2Os (PBE).

Cell: 4.863 4.863 3.458 Å, 90.14 90.14 102.37°
Element x y z (fractional)
Mg 0.000 0.000 0.000
Sb 0.000 0.500 0.500
Sb 0.500 0.000 0.500
Os 0.500 0.500 0.000

Output
N(E_F)	3.348	states/eV/f.u.
calculated density	9.52	Mg/m³
formation energy from raw total energies	0.40	eV/atom
final energy	-4.870	eV per atom
symmetry	C2/m, No. 12

=====

Entry from Alexandria: an optimized crystal structure of MgSb2Os (PBE).

Cell: 3.241 3.241 7.957 Å, 90.00 90.00 90.00°
Element x y z (fractional)
Mg 0.000 0.000 0.000
Sb 0.500 0.500 0.287
Sb 0.500 0.500 0.713
Os 0.000 0.000 0.500

Output
N(E_F)	1.892	states/eV/f.u.
calculated density	9.10	Mg/m³
formation energy from raw total energies	0.20	eV/atom
final energy	-5.071	eV per atom
symmetry	P4/mmm, No. 123

=====

Entry from Alexandria: an optimized crystal structure of MgSb2Os (PBE).

Cell: 7.503 7.503 7.503 Å, 30.07 30.07 30.07°
Element x y z (fractional)
Mg 0.000 0.000 0.000
Sb 0.235 0.235 0.235
Sb 0.765 0.765 0.765
Os 0.500 0.500 0.500

Output
N(E_F)	2.598	states/eV/f.u.
calculated density	8.10	Mg/m³
formation energy from raw total energies	0.20	eV/atom
final energy	-5.067	eV per atom
symmetry	R-3m, No. 166

=====

Entry from Alexandria: an optimized crystal structure of MgSb2Os (PBE).

Cell: 7.032 7.032 7.032 Å, 153.83 144.79 44.40°
Element x y z (fractional)
Mg 0.000 0.000 0.000
Sb 0.380 0.380 0.000
Sb 0.658 0.158 0.500
Os 0.210 0.710 0.500

Output
N(E_F)	2.149	states/eV/f.u.
calculated density	8.63	Mg/m³
formation energy from raw total energies	0.19	eV/atom
final energy	-5.079	eV per atom
symmetry	Imm2, No. 44

=====

Entry from Alexandria: an optimized crystal structure of MgSb2Os (PBE).

Cell: 5.157 5.157 6.414 Å, 108.54 108.54 36.53°
Element x y z (fractional)
Mg 0.000 0.000 0.000
Sb 0.663 0.663 0.682
Sb 0.852 0.852 0.378
Os 0.280 0.280 0.028

Output
N(E_F)	1.260	states/eV/f.u.
calculated density	7.95	Mg/m³
formation energy from raw total energies	0.12	eV/atom
final energy	-5.145	eV per atom
symmetry	Cm, No. 8

=====

Entry from Alexandria: an optimized crystal structure of MgSb2Os (PBE).

Cell: 5.459 5.459 5.459 Å, 134.99 134.99 65.54°
Element x y z (fractional)
Mg 0.000 0.000 0.000
Sb 0.500 0.500 0.000
Sb 0.750 0.250 0.500
Os 0.250 0.750 0.500

Output
N(E_F)	2.831	states/eV/f.u.
calculated density	9.49	Mg/m³
formation energy from raw total energies	0.44	eV/atom
final energy	-4.827	eV per atom
symmetry	I-4m2, No. 119

=====

Entry from Alexandria: an optimized crystal structure of MgSb2Os (PBE).

Cell: 6.981 6.981 6.981 Å, 153.62 141.51 47.26°
Element x y z (fractional)
Mg 0.000 0.000 0.000
Sb 0.331 0.831 0.500
Sb 0.669 0.169 0.500
Os 0.500 0.500 0.000

Output
N(E_F)	2.095	states/eV/f.u.
calculated density	8.11	Mg/m³
formation energy from raw total energies	0.09	eV/atom
final energy	-5.175	eV per atom
symmetry	Immm, No. 71

=====

Entry from Alexandria: an optimized crystal structure of MgSb2Os (PBE).

Cell: 3.217 3.217 8.369 Å, 90.00 90.00 90.00°
Element x y z (fractional)
Mg 0.000 0.000 0.000
Sb 0.000 0.000 0.374
Sb 0.500 0.500 0.738
Os 0.500 0.500 0.194

Output
N(E_F)	0.886	states/eV/f.u.
calculated density	8.78	Mg/m³
formation energy from raw total energies	0.08	eV/atom
final energy	-5.185	eV per atom
symmetry	P4mm, No. 99

=====

Entry from Alexandria: an optimized crystal structure of MgSb2Os (PBE).

Cell: 3.391 4.352 5.908 Å, 90.00 102.80 90.00°
Element x y z (fractional)
Mg 0.000 0.000 0.000
Sb 0.352 0.500 0.736
Sb 0.648 0.500 0.264
Os 0.500 0.000 0.500

Output
N(E_F)	1.368	states/eV/f.u.
calculated density	8.95	Mg/m³
formation energy from raw total energies	0.37	eV/atom
final energy	-4.897	eV per atom
symmetry	P2/m, No. 10

=====

Entry from Alexandria: an optimized crystal structure of MgSbOs3 (PBE).

Cell: 4.828 4.828 4.828 Å, 90.00 90.00 90.00°
Element x y z (fractional)
Mg 0.000 0.000 0.000
Sb 0.500 0.500 0.500
Os 0.000 0.500 0.500
Os 0.500 0.000 0.500
Os 0.500 0.500 0.000

Output
N(E_F)	5.410	states/eV/f.u.
calculated density	10.58	Mg/m³
energy above the lowest structure with this stoichiometry	0.0000	eV/atom
formation energy from raw total energies	2.07	eV/atom
final energy	-5.811	eV per atom
symmetry	Pm-3m, No. 221

=====

Entry from Alexandria: an optimized crystal structure of MgSbOs4 (PBE).

Cell: 5.268 5.268 5.268 Å, 60.00 60.00 60.00°
Element x y z (fractional)
Mg 0.000 0.000 0.000
Sb 0.250 0.250 0.250
Os 0.125 0.625 0.625
Os 0.625 0.125 0.625
Os 0.625 0.625 0.125
Os 0.625 0.625 0.625

Output
N(E_F)	8.692	states/eV/f.u.
calculated density	14.57	Mg/m³
formation energy from raw total energies	0.60	eV/atom
final energy	-7.844	eV per atom
symmetry	F-43m, No. 216

=====

The lowest formation energy from raw total energies belongs to which entry? number 9

=====

Which of these has the lowest formation energy from raw total energies? number 9

=====

Which formula does entry 3 have? MgSb2Os

=====

What is the formula in the eleventh record? MgSbOs3